Entry 1:
AsRu | meta-GGA SCAN | PBEsol geometry

Summary:
DOS at the Fermi energy = 3.0 states/eV/cell
Energy relative to the elements = -0.37 eV per atom
Uncorrected energy = -27.883 eV/atom

a = 5.694 Å, b = 3.298 Å, c = 6.343 Å
α = 90.00°, β = 90.00°, γ = 90.00°
Positions (direct):
As: 0.196 0.250 0.068
As: 0.304 0.750 0.568
As: 0.696 0.250 0.432
As: 0.804 0.750 0.932
Ru: 0.002 0.250 0.703
Ru: 0.498 0.750 0.203
Ru: 0.502 0.250 0.797
Ru: 0.998 0.750 0.297



Entry 2:
GaMo2P | meta-GGA SCAN | PBEsol geometry

Summary:
DOS at the Fermi energy = 17.7 states/eV/cell
Energy relative to the elements = 0.07 eV per atom
Uncorrected energy = -24.061 eV/atom

a = 6.057 Å, b = 6.057 Å, c = 6.057 Å
α = 90.00°, β = 90.00°, γ = 90.00°
Positions (direct):
Ga: 0.000 0.000 0.000
Ga: 0.000 0.500 0.500
Ga: 0.500 0.000 0.500
Ga: 0.500 0.500 0.000
Mo: 0.250 0.250 0.250
Mo: 0.250 0.250 0.750
Mo: 0.250 0.750 0.250
Mo: 0.250 0.750 0.750
Mo: 0.750 0.250 0.250
Mo: 0.750 0.250 0.750
Mo: 0.750 0.750 0.250
Mo: 0.750 0.750 0.750
P: 0.000 0.000 0.500
P: 0.000 0.500 0.000
P: 0.500 0.000 0.000
P: 0.500 0.500 0.500



Entry 3:
SbTe2As | meta-GGA SCAN | PBEsol geometry

Summary:
DOS at the Fermi energy = 5.1 states/eV/cell
Formation energy without anion corrections = 0.226 eV/atom
ΔE to the lowest computed polymorph = 147.4 meV per atom
Uncorrected energy = -32.763 eV/atom

a = 3.803 Å, b = 3.803 Å, c = 28.526 Å
α = 90.00°, β = 90.00°, γ = 120.00°
Positions (direct):
Sb: 0.000 0.000 0.000
Sb: 0.333 0.667 0.667
Sb: 0.667 0.333 0.333
Te: 0.000 0.000 0.104
Te: 0.000 0.000 0.896
Te: 0.333 0.667 0.563
Te: 0.333 0.667 0.771
Te: 0.667 0.333 0.229
Te: 0.667 0.333 0.437
As: 0.000 0.000 0.500
As: 0.333 0.667 0.167
As: 0.667 0.333 0.833



Entry 4:
NaPb3W | meta-GGA SCAN | PBEsol geometry

Summary:
DOS at the Fermi energy = 1.7 states/eV/cell
ΔE to the lowest computed polymorph = 0.0 meV per atom
Energy relative to the elements = 0.39 eV per atom
Uncorrected energy = -59.858 eV/atom

a = 5.390 Å, b = 5.390 Å, c = 5.390 Å
α = 90.00°, β = 90.00°, γ = 90.00°
Positions (direct):
Na: 0.000 0.000 0.000
Pb: 0.000 0.500 0.500
Pb: 0.500 0.000 0.500
Pb: 0.500 0.500 0.000
W: 0.500 0.500 0.500



Entry 5:
Li2SnPt | meta-GGA SCAN | PBEsol geometry

Summary:
DOS at the Fermi energy = 4.3 states/eV/cell
Energy relative to the elements = -0.77 eV per atom
Uncorrected energy = -28.494 eV/atom

a = 6.273 Å, b = 6.273 Å, c = 6.273 Å
α = 90.00°, β = 90.00°, γ = 90.00°
Positions (direct):
Li: 0.000 0.000 0.000
Li: 0.000 0.500 0.500
Li: 0.250 0.250 0.250
Li: 0.250 0.750 0.750
Li: 0.500 0.000 0.500
Li: 0.500 0.500 0.000
Li: 0.750 0.250 0.750
Li: 0.750 0.750 0.250
Sn: 0.000 0.000 0.500
Sn: 0.000 0.500 0.000
Sn: 0.500 0.000 0.000
Sn: 0.500 0.500 0.500
Pt: 0.250 0.250 0.750
Pt: 0.250 0.750 0.250
Pt: 0.750 0.250 0.250
Pt: 0.750 0.750 0.750



Entry 6:
MgCuCl | meta-GGA SCAN | PBEsol geometry

Summary:
DOS at the Fermi energy = 0.1 states/eV/cell
Formation energy without anion corrections = -0.545 eV/atom
Uncorrected energy = -9.928 eV/atom

a = 3.324 Å, b = 3.324 Å, c = 5.444 Å
α = 90.00°, β = 90.00°, γ = 120.00°
Positions (direct):
Mg: 0.000 0.000 0.000
Cu: 0.333 0.667 0.324
Cl: 0.667 0.333 0.680



no.,size of the total moment (μB/f.u.)
1,0.254
2,0.003
3,0.001
4,0.000
5,0.000
6,0.000